Record 1
Material: NaZnAu2F
Method: DFT, PBE
State: optimized geometry

Computed properties:
Crystal system: tetragonal
Space-group type: No. 123

a b c (Å): 5.061 5.334 5.061
angles (deg): 90.00 90.00 90.00
Sites, in units of the cell vectors:
F 0.500 0.500 0.500
Au 0.000 0.000 0.500
Na 0.000 0.000 0.000
Au 0.500 0.000 0.000
Zn 0.000 0.500 0.000

***

Record 2
Material: Tl2CF
Method: DFT, PBE
State: optimized geometry

Computed properties:
Excess energy over the best structure of this formula in the dataset (meV/atom): 283
Crystal system: cubic
Space-group type: No. 225

a b c (Å): 4.607 4.607 4.607
angles (deg): 60.00 60.00 60.00
Sites, in units of the cell vectors:
C 0.000 0.000 0.000
Tl 0.750 0.750 0.750
Tl 0.250 0.250 0.250
F 0.500 0.500 0.500

***

Result set for uncorrected formation energy: 0.599 0.531 eV per atom, one per record in the order listed.
Result set for raw total energy: -8.0 -13.7 eV for the cell shown, one per record in the order listed.
Result set for M_tot: 0.000 0.000 Bohr magnetons per cell, one per record in the order listed.